[1]
VASP calculation (PBE) on Cs2SiHg after structural relaxation.

Lattice parameters (Å, degrees): 12.235 12.235 12.235 148.73 148.73 44.81
Fractional coordinates of all 8 atoms:
Hg: 0.000 0.000 0.000
Hg: 0.750 0.250 0.500
Cs: 0.607 0.125 0.982
Cs: 0.143 0.625 0.018
Cs: 0.375 0.393 0.518
Cs: 0.875 0.857 0.482
Si: 0.500 0.500 0.000
Si: 0.250 0.750 0.500

ρ: 3338 kg/m³
DOS at the Fermi energy: 7.01 states/eV per cell
DFT total energy: -1.355 eV per atom
energy relative to the elements, uncorrected: 0.503 eV/atom
space-group type: No. 122

[2]
VASP calculation (PBE) on CsSiHg3 after structural relaxation.

Lattice parameters (Å, degrees): 5.484 5.484 5.484 90.00 90.00 90.00
Fractional coordinates of all 5 atoms:
Hg: 0.000 0.500 0.000
Hg: 0.000 0.000 0.500
Hg: 0.500 0.000 0.000
Si: 0.000 0.000 0.000
Cs: 0.500 0.500 0.500

ρ: 7681 kg/m³
distance to the lowest polymorph of the same formula: 0.00 eV/f.u.
DOS at the Fermi energy: 5.00 states/eV per cell
DFT total energy: -1.404 eV per atom
energy relative to the elements, uncorrected: 0.032 eV/atom
space-group type: No. 221

[3]
VASP calculation (PBE) on Cs2SiHg2Te4 after structural relaxation.

Lattice parameters (Å, degrees): 6.617 8.773 8.773 44.86 93.58 93.58
Fractional coordinates of all 9 atoms:
Cs: 0.257 0.687 0.687
Cs: 0.743 0.313 0.313
Te: 0.265 0.185 0.624
Te: 0.735 0.815 0.376
Te: 0.265 0.624 0.185
Te: 0.735 0.376 0.815
Si: 0.500 0.000 0.000
Hg: 0.851 0.912 0.912
Hg: 0.149 0.088 0.088

ρ: 5585 kg/m³
DOS at the Fermi energy: 4.39 states/eV per cell
DFT total energy: -2.566 eV per atom
energy relative to the elements, uncorrected: -0.310 eV/atom
space-group type: No. 12

[4]
VASP calculation (PBE) on CsSiHg2Te after structural relaxation.

Lattice parameters (Å, degrees): 5.425 5.425 5.701 90.00 90.00 90.00
Fractional coordinates of all 5 atoms:
Hg: 0.000 0.500 0.000
Hg: 0.500 0.000 0.000
Cs: 0.500 0.500 0.500
Si: 0.000 0.000 0.000
Te: 0.000 0.000 0.500

ρ: 6827 kg/m³
DOS at the Fermi energy: 2.15 states/eV per cell
DFT total energy: -2.168 eV per atom
energy relative to the elements, uncorrected: -0.164 eV/atom
space-group type: No. 123

[5]
VASP calculation (PBE) on CsSiHg2Te4 after structural relaxation.

Lattice parameters (Å, degrees): 7.567 7.452 7.452 79.86 59.49 59.49
Fractional coordinates of all 8 atoms:
Si: 0.000 0.500 0.500
Te: 0.371 0.171 0.467
Te: 0.629 0.533 0.829
Te: 0.990 0.467 0.171
Te: 0.010 0.829 0.533
Cs: 0.000 0.000 0.000
Hg: 0.500 0.283 0.717
Hg: 0.500 0.717 0.283

ρ: 5745 kg/m³
DOS at the Fermi energy: 3.27 states/eV per cell
DFT total energy: -2.719 eV per atom
energy relative to the elements, uncorrected: -0.288 eV/atom
space-group type: No. 23

[6]
VASP calculation (PBE) on CsSmHg after structural relaxation.

Lattice parameters (Å, degrees): 4.133 4.126 17.738 90.00 90.00 120.06
Fractional coordinates of all 6 atoms:
Hg: 0.277 0.554 0.500
Hg: 0.613 0.226 0.000
Cs: 0.278 0.556 0.167
Cs: 0.278 0.556 0.833
Sm: 0.611 0.221 0.614
Sm: 0.611 0.221 0.386

ρ: 6138 kg/m³
energy relative to the elements: 2.35 kcal/mol of atoms
DOS at the Fermi energy: 6.55 states/eV per cell
DFT total energy: -1.856 eV per atom
space-group type: No. 38